A plane-wave DFT calculation with PBE was carried out for a relaxed structure of In2OsSe.

Cell lengths 4.303, 4.303, 8.346 Å; angles 90.00, 90.00, 90.00 degrees
Fractional coordinates of all 8 atoms:
In 0.000 0.500 0.250
In 0.000 0.500 0.750
In 0.500 0.000 0.250
In 0.500 0.000 0.750
Os 0.000 0.000 0.000
Os 0.500 0.500 0.500
Se 0.000 0.000 0.500
Se 0.500 0.500 0.000

For the total magnetic moment, the calculation gives 0.00 μB per formula unit. The volume is 19.31 A^3/atom. The value obtained for the uncorrected formation energy is 0.5822 eV/atom. The density of states at the Fermi level comes out at 3.44 states/eV/cell. Its density is 10.72 Mg/m³.